Entry from the Alexandria database: crystalline Ca3TaTe at its relaxed geometry (GGA-PBE).

a = 5.5382 Å, b = 5.5382 Å, c = 5.5382 Å
α = 90.00°, β = 90.00°, γ = 90.00°
Closest atoms and distances in Å follow each position.
Fractional positions:
Ca: 0.0000 0.0000 0.5000  2 Ta 2.77
Ca: 0.0000 0.5000 0.0000  2 Ta 2.77
Ca: 0.5000 0.0000 0.0000  2 Ta 2.77
Ta: 0.0000 0.0000 0.0000  6 Ca 2.77
Te: 0.5000 0.5000 0.5000  12 Ca 3.92

Calculated values
The energy is -17.5 eV for the cell shown. The formation energy (no corrections) comes out at 709.5 meV/atom. As for the crystal system: cubic.

***

Entry from the Alexandria database: crystalline CaTa2Te at its relaxed geometry (GGA-PBE).

a = 3.6724 Å, b = 3.6724 Å, c = 6.8243 Å
α = 90.00°, β = 90.00°, γ = 90.00°
Closest atoms and distances in Å follow each position.
Fractional positions:
Ca: 0.0000 0.0000 0.0000  8 Ta 3.35, 2 Te 3.41, 4 Ca 3.67
Ta: 0.5000 0.5000 0.3097  1 Ta 2.60, 4 Te 2.90
Ta: 0.5000 0.5000 0.6903  1 Ta 2.60, 4 Te 2.90
Te: 0.0000 0.0000 0.5000  8 Ta 2.90

Calculated values
The energy is -26.9 eV for the cell shown. The formation energy (no corrections) comes out at 494.5 meV/atom. As for the crystal system: tetragonal.